1.
A plane-wave DFT calculation with PBE was carried out for crystalline In4NiRu at its relaxed geometry.

Calculated volume (Å³ per atom): 20.8
ΔH_f (0 K) (eV per formula unit): 5.01

Cell lengths 5.6108, 5.6108, 5.6108 Å; angles 60.00, 60.00, 60.00 degrees
With the nearest neighbours (Å) after each atom.
Fractional positions:
In1 0.8750 0.3750 0.3750  6 In 2.81
In2 0.3750 0.3750 0.8750  6 In 2.81
In3 0.3750 0.8750 0.3750  6 In 2.81
In4 0.3750 0.3750 0.3750  6 In 2.81
Ni1 0.7500 0.7500 0.7500  12 In 3.29, 4 Ru 3.44
Ru1 0.0000 0.0000 0.0000  12 In 3.29, 4 Ni 3.44

---

2.
A plane-wave DFT calculation with PBE was carried out for crystalline InNiRu at its relaxed geometry.

Calculated volume (Å³ per atom): 15.2
ΔH_f (0 K) (eV per formula unit): 0.34

Cell lengths 5.5794, 4.0177, 8.3619 Å; angles 90.00, 103.28, 90.00 degrees
With the nearest neighbours (Å) after each atom.
Fractional positions:
In1 0.5908 0.0000 0.2779  6 Ni 2.64-2.95, 4 Ru 2.68-2.93
In2 0.5908 0.5000 0.7779  6 Ni 2.64-2.95, 4 Ru 2.68-2.93
In3 0.2484 0.0000 0.5801  5 Ni 2.69-2.80, 5 Ru 2.75-2.79, 2 In 2.99
In4 0.2484 0.5000 0.0801  5 Ni 2.69-2.80, 5 Ru 2.75-2.79, 2 In 2.99
Ni1 0.4090 0.0000 0.9181  6 In 2.64-2.95, 4 Ru 2.73-2.94
Ni2 0.4090 0.5000 0.4181  6 In 2.64-2.95, 4 Ru 2.73-2.94
Ni3 0.7575 0.0000 0.6033  5 In 2.67-2.80, 5 Ru 2.70-2.75, 2 Ni 2.97
Ni4 0.7575 0.5000 0.1033  5 In 2.67-2.80, 5 Ru 2.70-2.75, 2 Ni 2.97
Ru1 0.9258 0.0000 0.9334  3 Ru 2.55-2.75, 4 Ni 2.70-2.75, 4 In 2.79-2.85
Ru2 0.9258 0.5000 0.4334  3 Ru 2.55-2.75, 4 Ni 2.70-2.75, 4 In 2.79-2.85
Ru3 0.0573 0.0000 0.2458  3 Ru 2.55-2.75, 4 In 2.68-2.79, 2 Ni 2.71
Ru4 0.0573 0.5000 0.7458  3 Ru 2.55-2.75, 4 In 2.68-2.79, 2 Ni 2.71

---

3.
A plane-wave DFT calculation with PBE was carried out for crystalline InNi2Ru at its relaxed geometry.

Calculated volume (Å³ per atom): 14.2
ΔH_f (0 K) (eV per formula unit): 0.66

Cell lengths 4.3169, 4.3169, 4.3169 Å; angles 60.00, 60.00, 60.00 degrees
With the nearest neighbours (Å) after each atom.
Fractional positions:
In1 0.5000 0.5000 0.5000  4 Ru 2.64, 4 Ni 2.64
Ni1 0.0000 0.0000 0.0000  4 Ru 2.64, 4 Ni 2.64
Ni2 0.2500 0.2500 0.2500  4 In 2.64, 4 Ni 2.64
Ru1 0.7500 0.7500 0.7500  4 In 2.64, 4 Ni 2.64

---

4.
A plane-wave DFT calculation with PBE was carried out for crystalline InNi2Ru at its relaxed geometry.

Calculated volume (Å³ per atom): 14.1
ΔH_f (0 K) (eV per formula unit): 0.54

Cell lengths 4.6588, 4.6588, 4.6588 Å; angles 130.94, 130.94, 71.90 degrees
With the nearest neighbours (Å) after each atom.
Fractional positions:
In1 0.7500 0.2500 0.5000  8 Ni 2.70-2.74, 4 Ru 2.70
Ni1 0.0000 0.0000 0.0000  4 In 2.70, 4 Ni 2.70, 4 Ru 2.74
Ni2 0.2500 0.7500 0.5000  4 Ru 2.70, 4 Ni 2.70, 4 In 2.74
Ru1 0.5000 0.5000 0.0000  4 In 2.70, 8 Ni 2.70-2.74

---

5.
A plane-wave DFT calculation with PBE was carried out for crystalline InNiRu at its relaxed geometry.

Calculated volume (Å³ per atom): 17.1
ΔH_f (0 K) (eV per formula unit): 0.98

Cell lengths 4.1690, 4.1690, 4.1690 Å; angles 60.00, 60.00, 60.00 degrees
With the nearest neighbours (Å) after each atom.
Fractional positions:
In1 0.5000 0.5000 0.5000  4 Ni 2.55
Ni1 0.7500 0.7500 0.7500  4 Ru 2.55, 4 In 2.55
Ru1 0.0000 0.0000 0.0000  4 Ni 2.55

---

6.
A plane-wave DFT calculation with PBE was carried out for crystalline InNiRu2 at its relaxed geometry.

Calculated volume (Å³ per atom): 14.9
ΔH_f (0 K) (eV per formula unit): 1.00

Cell lengths 5.3777, 5.3777, 5.3777 Å; angles 149.30, 130.90, 59.03 degrees
With the nearest neighbours (Å) after each atom.
Fractional positions:
In1 0.2500 0.7500 0.5000  4 Ni 2.65, 2 In 2.85, 4 Ru 2.96
Ni1 0.7500 0.2500 0.5000  4 Ru 2.53, 4 In 2.65
Ru1 0.9733 0.9733 0.0000  2 Ni 2.53, 4 Ru 2.70
Ru2 0.5267 0.5267 0.0000  2 Ni 2.53, 4 Ru 2.70

---

7.
A plane-wave DFT calculation with PBE was carried out for crystalline InNi2Ru at its relaxed geometry.

Calculated volume (Å³ per atom): 14.3
ΔH_f (0 K) (eV per formula unit): 1.22

Cell lengths 8.5758, 8.5758, 8.5758 Å; angles 18.80, 18.80, 18.80 degrees
With the nearest neighbours (Å) after each atom.
Fractional positions:
In1 0.2500 0.2500 0.2500  6 Ni 2.73, 6 In 2.80
Ni1 0.0040 0.0040 0.0040  3 Ru 2.58, 3 In 2.73, 6 Ni 2.80
Ni2 0.4960 0.4960 0.4960  3 Ru 2.58, 3 In 2.73, 6 Ni 2.80
Ru1 0.7500 0.7500 0.7500  6 Ni 2.58, 6 Ru 2.80

---

8.
A plane-wave DFT calculation with PBE was carried out for crystalline InNi2Ru at its relaxed geometry.

Calculated volume (Å³ per atom): 14.3
ΔH_f (0 K) (eV per formula unit): 0.67

Cell lengths 4.5544, 4.5544, 4.6857 Å; angles 79.25, 79.25, 36.96 degrees
With the nearest neighbours (Å) after each atom.
Fractional positions:
In1 0.2500 0.2500 0.2500  6 Ni 2.70-2.75, 4 Ru 2.75, 2 In 2.89
Ni1 0.0058 0.0058 0.9669  2 Ni 2.51, 3 Ru 2.59-2.61, 3 In 2.70-2.75
Ni2 0.4942 0.4942 0.5331  2 Ni 2.51, 3 Ru 2.59-2.61, 3 In 2.70-2.75
Ru1 0.7500 0.7500 0.7500  6 Ni 2.59-2.61, 4 In 2.75, 2 Ru 2.89

---

In order of appearance, final energy = -3.50; -5.82; -5.73; -5.76; -5.61; -6.52; -5.59; -5.73 eV/atom.